The following is a DFT calculation (PBE) of AcEuY2 after structural relaxation.

- Mass density: 6261 kg/m3
- Formation enthalpy at 0 K: 0.068 eV per atom
- SG: R-3m
- Uncorrected energy: -27.0 eV/f.u.

Unit cell a=3.7598 b=3.7598 c=12.2568 alpha=81.18 beta=81.18 gamma=60.00
Element x y z (fractional)
Ac1 0.5000 0.5000 0.5000
Eu1 0.0000 0.0000 0.0000
Y1 0.2495 0.2495 0.2515
Y2 0.7505 0.7505 0.7485